1.
Material: Ba3Sr3Ga4
Method: DFT, GGA-PBE
State: relaxed

a b c (Å): 5.0819 8.5686 8.5686
angles (deg): 88.92 90.00 90.00
Positions (direct):
Ba1 0.0000 0.0000 0.0000
Ba2 0.5000 0.3333 0.8345
Ba3 0.5000 0.8345 0.3333
Sr1 0.0000 0.1655 0.5021
Sr2 0.0000 0.5021 0.1655
Sr3 0.0000 0.6610 0.6610
Ga1 0.5000 0.2328 0.2328
Ga2 0.5000 0.4411 0.4411
Ga3 0.5000 0.7213 0.9366
Ga4 0.5000 0.9366 0.7213

Output
* space-group type: Amm2
* formation enthalpy at 0 K: -0.285 eV/atom

***

2.
Material: VFe
Method: DFT, GGA-PBE
State: relaxed

a b c (Å): 2.4634 4.9103 8.0448
angles (deg): 90.00 90.00 90.00
Positions (direct):
V1 0.0000 0.0000 0.0000
V2 0.0000 0.5000 0.5000
V3 0.5000 0.0000 0.5000
V4 0.5000 0.5000 0.0000
Fe1 0.2500 0.2500 0.2500
Fe2 0.2500 0.7500 0.7500
Fe3 0.7500 0.2500 0.7500
Fe4 0.7500 0.7500 0.2500

Output
* space-group type: F222
* formation enthalpy at 0 K: 0.048 eV/atom

***

3.
Material: Si2SbW
Method: DFT, GGA-PBE
State: relaxed

a b c (Å): 3.1608 3.1608 25.2609
angles (deg): 90.00 90.00 120.00
Positions (direct):
Si1 0.0000 0.0000 0.2367
Si2 0.0000 0.0000 0.7633
Si3 0.3333 0.6667 0.4300
Si4 0.3333 0.6667 0.9034
Si5 0.6667 0.3333 0.0966
Si6 0.6667 0.3333 0.5700
Sb1 0.0000 0.0000 0.0000
Sb2 0.3333 0.6667 0.6667
Sb3 0.6667 0.3333 0.3333
W1 0.0000 0.0000 0.5000
W2 0.3333 0.6667 0.1667
W3 0.6667 0.3333 0.8333

Output
* space-group type: R-3m
* formation energy (no corrections): 8.46 kcal/mol of atoms

***

| no. | energy (eV per atom) |
| --- | --- |
| 1 | -2.577 |
| 2 | -8.743 |
| 3 | -6.614 |